First-principles (PBE) data for crystalline Zr2ZnIrRh at its relaxed geometry, as listed in Alexandria. Values from VASP.

Computed properties:
- ΔH_f (0 K) (kcal/mol of atoms) = -10.20
- calculated total energy (eV per cell) = -73.59

Structure (Quantum ESPRESSO input):
```
&SYSTEM
  ibrav = 0, nat = 10, ntyp = 4
/
ATOMIC_SPECIES
Zr 91.22 Zr.upf
Zn 65.41 Zn.upf
Ir 192.22 Ir.upf
Rh 102.91 Rh.upf
CELL_PARAMETERS angstrom
7.300 0.000 0.000
0.000 3.178 0.000
-2.602 0.000 8.094
ATOMIC_POSITIONS angstrom
Zr 1.441 0.794 0.036
Zr -0.054 0.794 4.880
Zr 4.752 2.383 3.214
Zr 3.257 2.383 8.058
Zn 2.038 0.794 2.902
Zn 2.660 2.383 5.191
Ir -0.535 0.794 2.096
Ir 5.233 2.383 5.998
Rh 0.744 2.383 6.940
Rh 3.954 0.794 1.154
```